No. 1
Compound: La2Zr2O7
Source: Alexandria via LeMat-Bulk
Functional: GGA-PBEsol
Structure: optimized geometry

Calculated values
ΔE_f (raw) = -3.5447 eV/atom
DOS(E_F) = 0.00 states/eV per cell
SG = Fd-3m (227)

Lattice parameters (Å, degrees): 7.592 7.592 7.592 60.00 60.00 60.00
Positions (direct):
La 0.125 0.625 0.125
La 0.125 0.125 0.625
La 0.125 0.125 0.125
La 0.625 0.125 0.125
Zr 0.625 0.125 0.625
Zr 0.625 0.625 0.125
Zr 0.625 0.625 0.625
Zr 0.125 0.625 0.625
O 0.250 0.250 0.250
O 0.000 0.000 0.000
O 0.958 0.542 0.958
O 0.708 0.292 0.708
O 0.958 0.958 0.542
O 0.958 0.542 0.542
O 0.542 0.958 0.958
O 0.542 0.542 0.958
O 0.542 0.958 0.542
O 0.708 0.292 0.292
O 0.292 0.708 0.708
O 0.292 0.708 0.292
O 0.708 0.708 0.292
O 0.292 0.292 0.708

No. 2
Compound: La3ZrO
Source: Alexandria via LeMat-Bulk
Functional: GGA-PBEsol
Structure: optimized geometry

Calculated values
ΔE_f (raw) = -1.0842 eV/atom
DOS(E_F) = 4.85 states/eV per cell
SG = Pm-3m (221)

Lattice parameters (Å, degrees): 5.002 5.002 5.002 90.00 90.00 90.00
Positions (direct):
O 0.000 0.000 0.000
Zr 0.500 0.500 0.500
La 0.000 0.500 0.000
La 0.000 0.000 0.500
La 0.500 0.000 0.000

Please write out number 2 again, unchanged.
Compound: La3ZrO
Source: Alexandria via LeMat-Bulk
Functional: GGA-PBEsol
Structure: optimized geometry

Calculated values
ΔE_f (raw) = -1.0842 eV/atom
DOS(E_F) = 4.85 states/eV per cell
SG = Pm-3m (221)

Lattice parameters (Å, degrees): 5.002 5.002 5.002 90.00 90.00 90.00
Positions (direct):
O 0.000 0.000 0.000
Zr 0.500 0.500 0.500
La 0.000 0.500 0.000
La 0.000 0.000 0.500
La 0.500 0.000 0.000